Computed, not measured: an optimized crystal structure of La3Sm4Tl at the PBE-GGA level of DFT.

Calculated values
The calculation puts the volume at 533 Å³ per cell. The density of states at the Fermi level comes out at 1.282 states/eV/atom. The crystal system is orthorhombic. The calculation puts the total magnetization at 0.00 μB/f.u. Its energy relative to the elements is -0.08 eV per atom.

a = 11.5607 Å, b = 7.2591 Å, c = 6.3570 Å
α = 90.00°, β = 90.00°, γ = 90.00°
With the nearest neighbours (Å) after each atom.
Positions (direct):
La  0.0000  0.1266  0.0000  5 Sm 3.43-3.66, 4 La 3.52-3.62, 2 Tl 3.57-3.83
La  0.2391  0.1118  0.6579  2 Tl 3.49-3.64, 6 Sm 3.51-3.81, 4 La 3.52-3.62
La  0.2609  0.8882  0.1579  2 Tl 3.49-3.64, 6 Sm 3.51-3.81, 4 La 3.52-3.62
La  0.5000  0.8734  0.5000  5 Sm 3.43-3.66, 4 La 3.52-3.62, 2 Tl 3.57-3.83
La  0.7391  0.8882  0.1579  2 Tl 3.49-3.64, 6 Sm 3.51-3.81, 4 La 3.52-3.62
La  0.7609  0.1118  0.6579  2 Tl 3.49-3.64, 6 Sm 3.51-3.81, 4 La 3.52-3.62
Sm  0.0000  0.3762  0.4583  3 La 3.43-3.60, 5 Sm 3.47-3.67, 2 Tl 3.56-3.70
Sm  0.0000  0.6305  0.9912  6 Sm 3.50-3.86, 2 Tl 3.53-3.69, 4 La 3.60-3.70
Sm  0.2352  0.6280  0.6400  1 Tl 3.39, 6 Sm 3.47-3.71, 4 La 3.51-3.75
Sm  0.2648  0.3720  0.1400  1 Tl 3.39, 6 Sm 3.47-3.71, 4 La 3.51-3.75
Sm  0.5000  0.3695  0.4912  6 Sm 3.50-3.86, 2 Tl 3.53-3.69, 4 La 3.60-3.70
Sm  0.5000  0.6238  0.9583  3 La 3.43-3.60, 5 Sm 3.47-3.67, 2 Tl 3.56-3.70
Sm  0.7352  0.3720  0.1400  1 Tl 3.39, 6 Sm 3.47-3.71, 4 La 3.51-3.75
Sm  0.7648  0.6280  0.6400  1 Tl 3.39, 6 Sm 3.47-3.71, 4 La 3.51-3.75
Tl  0.0000  0.8662  0.4764  6 Sm 3.39-3.70, 5 La 3.49-3.64
Tl  0.5000  0.1338  0.9764  6 Sm 3.39-3.70, 5 La 3.49-3.64